No. 1
Here is a relaxed structure of CsCrB2F8 from Alexandria via LeMat-Bulk. Energies are from GGA+U.

Results
The calculation puts the electronic total energy at -5.757 eV/atom. The spin magnetization comes out at 5.000 μB/cell.

Lattice parameters (Å, degrees): 5.3923 5.3923 8.4354 71.36 71.36 60.00
Closest atoms and distances in Å follow each position.
Sites, in units of the cell vectors:
B: 0.7451 0.7451 0.7648  4 F 1.42
F: 0.7316 0.9717 0.8230  1 B 1.42
F: 0.8055 0.8055 0.5834  1 B 1.42
F: 0.1945 0.1945 0.4166  1 B 1.42
F: 0.4737 0.7316 0.8230  1 B 1.42
F: 0.5263 0.2684 0.1770  1 B 1.42
F: 0.9717 0.4737 0.8230  1 B 1.42
F: 0.0283 0.5263 0.1770  1 B 1.42
Cr: 0.0000 0.0000 0.0000  6 F 2.47
F: 0.2684 0.0283 0.1770  1 B 1.42
B: 0.2549 0.2549 0.2352  4 F 1.42
Cs: 0.5000 0.5000 0.5000  12 F 3.18-3.28

=====

No. 2
Here is a relaxed structure of MnMo3O9 from Alexandria via LeMat-Bulk. Energies are from GGA+U.

Results
The calculation puts the electronic total energy at -7.180 eV/atom. The spin magnetization comes out at 14.000 μB/cell.

Lattice parameters (Å, degrees): 7.6498 8.5021 9.7491 72.40 66.90 63.26
Closest atoms and distances in Å follow each position.
Sites, in units of the cell vectors:
O: 0.7100 0.6929 0.0895  1 Mo 1.78
O: 0.0060 0.5077 0.4969  2 Mo 1.84-1.98
Mo: 0.4871 0.7488 0.2481  4 O 1.78-1.99
Mo: 0.0305 0.9392 0.8065  4 O 1.78-1.98
Mo: 0.9830 0.0565 0.1705  4 O 1.76-1.84
O: 0.5076 0.1929 0.5895  1 Mo 1.78
Mo: 0.2238 0.4392 0.3065  4 O 1.78-1.98
O: 0.3709 0.2058 0.3287  1 Mo 1.78
O: 0.1191 0.5322 0.1531  1 Mo 1.78
O: 0.2897 0.2976 0.9060  1 Mo 1.79
O: 0.6262 0.4394 0.6914  2 Mo 1.84-1.99
O: 0.0946 0.7058 0.8287  1 Mo 1.78
Mo: 0.5161 0.2488 0.7481  4 O 1.78-1.99
O: 0.1955 0.0322 0.6531  1 Mo 1.78
O: 0.9102 0.2878 0.1577  1 Mo 1.76
O: 0.9894 0.0077 0.9969  2 Mo 1.84-1.98
O: 0.7492 0.0644 0.8069  2 Mo 1.92-1.93
O: 0.3795 0.5644 0.3069  2 Mo 1.92-1.93
O: 0.2430 0.9394 0.1914  2 Mo 1.84-1.99
O: 0.8085 0.9834 0.3281  1 Mo 1.76
O: 0.8800 0.4834 0.8281  1 Mo 1.76
Mn: 0.5004 0.0019 0.4944  6 O 2.13-2.24
O: 0.5068 0.7976 0.4060  1 Mo 1.79
O: 0.6443 0.7878 0.6577  1 Mo 1.76
Mn: 0.0033 0.5019 0.9944  6 O 2.13-2.24
Mo: 0.7900 0.5565 0.6705  4 O 1.76-1.84